Compound: U2TcPt
Source: Alexandria via LeMat-Bulk
Functional: PBE
Structure: relaxed

abc: 3.226 3.226 7.631
angles: 90.00 90.00 90.00
Space group P4/mmm (No. 123)
Inequivalent atoms, fractional coordinates:
U 0.000 0.000 0.240 (multiplicity 2)
Tc 0.500 0.500 0.000 (multiplicity 1)
Pt 0.500 0.500 0.500 (multiplicity 1)

Compound: Mg2ReRh
Source: Alexandria via LeMat-Bulk
Functional: PBE
Structure: relaxed

abc: 2.756 2.756 8.294
angles: 90.00 90.00 90.00
Space group P4/mmm (No. 123)
Inequivalent atoms, fractional coordinates:
Mg 0.000 0.000 0.231 (multiplicity 2)
Re 0.500 0.500 0.500 (multiplicity 1)
Rh 0.500 0.500 0.000 (multiplicity 1)

Summary:
The energy above the most stable polymorph in this dataset comes out at 0.1231 eV per atom.

Compound: La5PmIr3
Source: Alexandria via LeMat-Bulk
Functional: PBE
Structure: relaxed

abc: 12.937 9.644 10.547
angles: 90.00 113.87 90.00
Space group C2/m (No. 12)
Inequivalent atoms, fractional coordinates:
La 0.000 0.198 0.000 (multiplicity 4)
La 0.066 0.000 0.369 (multiplicity 4)
La 0.166 0.304 0.666 (multiplicity 8)
La 0.231 0.500 0.037 (multiplicity 4)
Pm 0.102 0.500 0.298 (multiplicity 4)
Ir 0.000 0.500 0.000 (multiplicity 2)
Ir 0.000 0.500 0.500 (multiplicity 2)
Ir 0.166 0.000 0.666 (multiplicity 4)
Ir 0.167 0.000 0.166 (multiplicity 4)

Compound: Pr2PuTc2N6
Source: Alexandria via LeMat-Bulk
Functional: PBE
Structure: relaxed

abc: 5.7935 5.7935 17.6259
angles: 90.00 90.00 120.00
Space group R-3m (No. 166, hexagonal axes)
Inequivalent atoms, fractional coordinates:
Pr 0.0000 0.0000 0.2091 (multiplicity 6)
Pu 0.0000 0.0000 0.0000 (multiplicity 3)
Tc 0.0000 0.0000 0.3985 (multiplicity 6)
N 0.0136 0.5068 0.7610 (multiplicity 18)

Summary:
The calculation puts the uncorrected formation energy at -607.7 meV per atom.

Compound: Pr2AgN
Source: Alexandria via LeMat-Bulk
Functional: PBE
Structure: relaxed

abc: 3.6935 3.6935 23.3341
angles: 90.00 90.00 120.00
Space group R3m (No. 160, hexagonal axes)
Inequivalent atoms, fractional coordinates:
Pr 0.0000 0.0000 0.0000 (multiplicity 3)
Pr 0.0000 0.0000 0.2115 (multiplicity 3)
Ag 0.0000 0.0000 0.4395 (multiplicity 3)
N 0.0000 0.0000 0.6052 (multiplicity 3)

Summary:
The calculation puts the uncorrected formation energy at -660.8 meV per atom.

Compound: ReIN
Source: Alexandria via LeMat-Bulk
Functional: PBE
Structure: relaxed

abc: 3.261 6.942 8.014
angles: 102.84 101.73 101.57
Space group P1 (No. 1)
Inequivalent atoms, fractional coordinates:
Re 0.000 0.000 0.000 (multiplicity 1)
Re 0.198 0.099 0.312 (multiplicity 1)
I 0.574 0.291 0.898 (multiplicity 1)
I 0.900 0.455 0.411 (multiplicity 1)
N 0.411 0.856 0.945 (multiplicity 1)
N 0.679 0.990 0.367 (multiplicity 1)

Summary:
The energy above the most stable polymorph in this dataset comes out at 0.2549 eV per atom. The calculation puts the uncorrected formation energy at 406.6 meV per atom.

Compound: Tc2PtW
Source: Alexandria via LeMat-Bulk
Functional: PBE
Structure: relaxed

abc: 2.7779 2.7779 27.4190
angles: 90.00 90.00 120.00
Space group R-3m (No. 166, hexagonal axes)
Inequivalent atoms, fractional coordinates:
Tc 0.0000 0.0000 0.2493 (multiplicity 6)
Pt 0.0000 0.0000 0.0000 (multiplicity 3)
W 0.0000 0.0000 0.5000 (multiplicity 3)

Summary:
The energy above the most stable polymorph in this dataset comes out at 0.2316 eV per atom.

Compound: Sr2TaMo
Source: Alexandria via LeMat-Bulk
Functional: PBE
Structure: relaxed

abc: 7.731 7.731 7.731
angles: 90.00 90.00 90.00
Space group Fm-3m (No. 225)
Inequivalent atoms, fractional coordinates:
Sr 0.250 0.250 0.250 (multiplicity 8)
Ta 0.000 0.000 0.000 (multiplicity 4)
Mo 0.000 0.000 0.500 (multiplicity 4)

Summary:
The energy above the most stable polymorph in this dataset comes out at 1.0259 eV per atom.

Compound: CaPr6S8
Source: Alexandria via LeMat-Bulk
Functional: PBE
Structure: relaxed

abc: 11.575 11.575 11.575
angles: 90.00 90.00 90.00
Space group Fm-3m (No. 225)
Inequivalent atoms, fractional coordinates:
Ca 0.000 0.000 0.000 (multiplicity 4)
Pr 0.000 0.250 0.250 (multiplicity 24)
S 0.000 0.000 0.245 (multiplicity 24)
S 0.250 0.250 0.250 (multiplicity 8)

Summary:
The calculation puts the uncorrected formation energy at -2055.4 meV per atom.

Compound: Sc4CdNiPd2
Source: Alexandria via LeMat-Bulk
Functional: PBE
Structure: relaxed

abc: 4.7184 4.7184 23.1862
angles: 90.00 90.00 120.00
Space group R-3m (No. 166, hexagonal axes)
Inequivalent atoms, fractional coordinates:
Sc 0.0000 0.0000 0.1157 (multiplicity 6)
Sc 0.0000 0.0000 0.3680 (multiplicity 6)
Cd 0.0000 0.0000 0.5000 (multiplicity 3)
Ni 0.0000 0.0000 0.0000 (multiplicity 3)
Pd 0.0000 0.0000 0.2458 (multiplicity 6)

Compound: ThAgPt
Source: Alexandria via LeMat-Bulk
Functional: PBE
Structure: relaxed

abc: 4.6721 4.6721 3.5930
angles: 90.00 90.00 120.00
Space group P-6m2 (No. 187)
Inequivalent atoms, fractional coordinates:
Th 0.0000 0.0000 0.0000 (multiplicity 1)
Ag 0.6667 0.3333 0.5000 (multiplicity 1)
Pt 0.3333 0.6667 0.5000 (multiplicity 1)

Summary:
The energy above the most stable polymorph in this dataset comes out at 0.1497 eV per atom.

Compound: Ca2Zn5Ir2Pd
Source: Alexandria via LeMat-Bulk
Functional: PBE
Structure: relaxed

abc: 9.873 9.873 3.691
angles: 90.00 90.00 90.00
Space group P4/mbm (No. 127)
Inequivalent atoms, fractional coordinates:
Ca 0.172 0.328 0.000 (multiplicity 4)
Zn 0.000 0.500 0.500 (multiplicity 2)
Zn 0.061 0.805 0.500 (multiplicity 8)
Ir 0.127 0.627 0.000 (multiplicity 4)
Pd 0.000 0.000 0.000 (multiplicity 2)

no.,VASP energy (eV per atom)
1,-9.962
2,-5.690
3,-6.824
4,-9.205
5,-5.845
6,-7.035
7,-9.865
8,-5.013
9,-6.302
10,-5.920
11,-6.035
12,-3.637